Record 1
GGA-PBE ZnAg, optimized geometry; space group = Cm (8); calculated volume = 16.22 Å³/atom; total moment = 0.00 Bohr magnetons per cell; crystal system = monoclinic; energy relative to the elements = -1.02 kcal/mol of atoms
1.0
5.110 -0.049 0.172
4.274 2.802 0.172
-7.201 -2.112 6.435
Ag Zn
3 3
Direct
0.999 0.999 0.969
0.107 0.107 0.745
0.664 0.664 0.319
0.297 0.297 0.634
0.455 0.455 0.409
0.811 0.811 0.090


Record 2
GGA-PBE ZnAg2, optimized geometry; space group = Fd-3m (227); calculated volume = 19.35 Å³/atom; total moment = 0.00 Bohr magnetons per cell; ΔE to the lowest computed polymorph = 0.80 eV/f.u.; crystal system = cubic; energy relative to the elements = 5.10 kcal/mol of atoms
1.0
0.000 3.872 3.872
3.872 0.000 3.872
3.872 3.872 0.000
Zn Ag
2 4
Direct
0.750 0.750 0.750
0.500 0.500 0.500
0.125 0.625 0.125
0.125 0.125 0.625
0.625 0.125 0.125
0.125 0.125 0.125


Record 3
GGA-PBE ZnAg3, optimized geometry; space group = Cmmm (65); calculated volume = 17.13 Å³/atom; total moment = 0.00 Bohr magnetons per cell; crystal system = orthorhombic; energy relative to the elements = -0.01 kcal/mol of atoms
1.0
4.937 0.026 0.000
-1.626 4.661 0.000
0.000 0.000 2.972
Zn Ag
1 3
Direct
0.500 0.500 0.000
0.000 0.000 0.000
0.000 0.500 0.500
0.500 0.000 0.500


Record 4
GGA-PBE ZnAg, optimized geometry; space group = Pm-3m (221); calculated volume = 16.17 Å³/atom; total moment = 0.00 Bohr magnetons per cell; crystal system = cubic; energy relative to the elements = -0.91 kcal/mol of atoms
1.0
3.184 0.000 0.000
0.000 3.184 0.000
0.000 0.000 3.190
Zn Ag
1 1
Direct
0.000 0.000 0.500
0.500 0.500 0.000


Look up the total moment of the third one.
0.00 Bohr magnetons per cell